# HfZnGaRh, relaxed, DFT PBE
data_HfZnGaRh
_chemical_formula_sum 'Hf2 Zn2 Ga2 Rh2'
_cell_length_a 4.076
_cell_length_b 2.955
_cell_length_c 10.759
_cell_angle_alpha 90.00
_cell_angle_beta 90.00
_cell_angle_gamma 90.00
_space_group_name_H-M_alt 'A m m 2'
_space_group_IT_number 38
loop_
_space_group_symop_operation_xyz
'x,y,z'
'-x,-y,z'
'-x,y,z'
'x,-y,z'
'x,y+1/2,z+1/2'
'-x,-y+1/2,z+1/2'
'-x,y+1/2,z+1/2'
'x,-y+1/2,z+1/2'
loop_
_atom_site_label
_atom_site_type_symbol
_atom_site_fract_x
_atom_site_fract_y
_atom_site_fract_z
Hf1 Hf 0.000 0.000 0.000
Zn1 Zn 0.000 0.000 0.750
Ga1 Ga 0.500 0.000 0.621
Rh1 Rh 0.500 0.000 0.359
# * ΔH_f (0 K): -402 meV per atom
# * DOS(E_F): 2.4 states/eV/f.u.
# * VASP energy: -5.804 eV per atom